# GeBiS3 PBE optimized geometry
# DOS at the Fermi energy in states/eV/f.u.: 2.943
# Magnetization in μB per cell: 0.00
# E above lowest polymorph in eV per atom: 0.1974
# Electronic total energy in eV/atom: -4.04
data_GeBiS3
_chemical_formula_sum 'Ge1 Bi1 S3'
_cell_length_a 4.736
_cell_length_b 4.736
_cell_length_c 4.736
_cell_angle_alpha 90.00
_cell_angle_beta 90.00
_cell_angle_gamma 90.00
_space_group_name_H-M_alt 'P m -3 m'
_space_group_IT_number 221
_space_group_name_Hall '-P 4 2 3'
loop_
_atom_site_label
_atom_site_fract_x
_atom_site_fract_y
_atom_site_fract_z
_atom_site_occupancy
Ge1 0.000 0.000 0.000 1
Bi1 0.500 0.500 0.500 1
S1 0.000 0.000 0.500 1